DFT (PBE-GGA) results for crystalline NbTlFeTe3 at its relaxed geometry.

Unit cell a=8.661 b=8.661 c=10.171 alpha=90.00 beta=90.00 gamma=155.33
Last column: magnetic moment on the atom in μB.
Atoms (fractional coordinates):
Nb (0.500, 0.500, 0.500)  -0.30
Nb (0.500, 0.500, 0.000)  -0.30
Te (0.123, 0.877, 0.443)  0.00
Te (0.577, 0.423, 0.750)  0.02
Te (0.423, 0.577, 0.250)  0.02
Fe (0.972, 0.028, 0.750)  2.29
Fe (0.028, 0.972, 0.250)  2.29
Te (0.123, 0.877, 0.057)  0.01
Tl (0.748, 0.252, 0.250)  0.01
Tl (0.252, 0.748, 0.750)  0.01
Te (0.877, 0.123, 0.943)  0.01
Te (0.877, 0.123, 0.557)  0.00

## Properties
E = -5.27 eV per atom
Crystal system = orthorhombic
Space-group type = Cmcm